*a*
An optimized crystal structure of SrBS3. Source: Alexandria, functional PBE.

Cell lengths 5.6634, 5.6634, 5.6634 Å; angles 90.00, 90.00, 90.00 degrees
Fractional positions:
Sr: 0.0000 0.0000 0.0000
B: 0.5000 0.5000 0.5000
S: 0.0000 0.0000 0.5000
S: 0.0000 0.5000 0.0000
S: 0.5000 0.0000 0.0000

As for the crystal system: cubic. Its total magnetization is 3.000 μB/f.u.

***

*b*
An optimized crystal structure of SrBS3. Source: Alexandria, functional PBE.

Cell lengths 4.3767, 6.5088, 8.7120 Å; angles 90.00, 104.18, 90.00 degrees
Fractional positions:
Sr: 0.2475 0.2500 0.3261
Sr: 0.7525 0.7500 0.6739
B: 0.1808 0.2500 0.7600
B: 0.8192 0.7500 0.2400
S: 0.1380 0.7500 0.4212
S: 0.3153 0.0019 0.8407
S: 0.3153 0.4981 0.8407
S: 0.6847 0.5019 0.1593
S: 0.6847 0.9981 0.1593
S: 0.8620 0.2500 0.5788

As for the crystal system: monoclinic. Its total magnetization is 0.886 μB/f.u.

***

Least stable structure: *a*

***

*a*
An optimized crystal structure of SrB2S4. Source: Alexandria, functional PBE.

Cell lengths 5.7877, 5.7877, 10.3706 Å; angles 90.00, 90.00, 126.47 degrees
Fractional positions:
Sr: 0.0000 0.0000 0.2500
Sr: 0.0000 0.0000 0.7500
B: 0.2533 0.7460 0.5000
B: 0.2540 0.7467 0.0000
B: 0.7460 0.2533 0.0000
B: 0.7467 0.2540 0.5000
S: 0.0000 0.5000 0.3615
S: 0.0000 0.5000 0.6385
S: 0.1334 0.3559 0.0000
S: 0.3559 0.1334 0.5000
S: 0.5000 0.0000 0.1385
S: 0.5000 0.0000 0.8615
S: 0.6441 0.8666 0.5000
S: 0.8666 0.6441 0.0000

As for the crystal system: orthorhombic. Its total magnetization is 0.000 μB/f.u.

***

*b*
An optimized crystal structure of SrB2S4. Source: Alexandria, functional PBE.

Cell lengths 6.5403, 14.2664, 6.1423 Å; angles 90.00, 109.54, 90.00 degrees
Fractional positions:
Sr: 0.1903 0.1036 0.3035
Sr: 0.1903 0.3964 0.8035
Sr: 0.8097 0.6036 0.1965
Sr: 0.8097 0.8964 0.6965
B: 0.2717 0.7278 0.8213
B: 0.2717 0.7722 0.3213
B: 0.4655 0.5838 0.5687
B: 0.4655 0.9162 0.0687
B: 0.5345 0.0838 0.9313
B: 0.5345 0.4162 0.4313
B: 0.7283 0.2278 0.6787
B: 0.7283 0.2722 0.1787
S: 0.0874 0.7393 0.0089
S: 0.0874 0.7607 0.5089
S: 0.2693 0.0079 0.8610
S: 0.2693 0.4921 0.3610
S: 0.3726 0.6002 0.8315
S: 0.3726 0.8998 0.3315
S: 0.4736 0.1957 0.0615
S: 0.4736 0.3043 0.5615
S: 0.5264 0.6957 0.4385
S: 0.5264 0.8043 0.9385
S: 0.6274 0.1002 0.6685
S: 0.6274 0.3998 0.1685
S: 0.7307 0.5079 0.6390
S: 0.7307 0.9921 0.1390
S: 0.9126 0.2393 0.4911
S: 0.9126 0.2607 0.9911

As for the crystal system: monoclinic. Its total magnetization is 0.000 μB/f.u.

***

*c*
An optimized crystal structure of SrB2S4. Source: Alexandria, functional PBE.

Cell lengths 5.8248, 5.8248, 5.8248 Å; angles 101.21, 101.21, 127.69 degrees
Fractional positions:
Sr: 0.0000 0.0000 0.0000
B: 0.2500 0.7500 0.5000
B: 0.7500 0.2500 0.5000
S: 0.1546 0.6204 0.7750
S: 0.3796 0.1546 0.5343
S: 0.6204 0.8454 0.4657
S: 0.8454 0.3796 0.2250

As for the crystal system: tetragonal. Its total magnetization is 0.000 μB/f.u.

***

Least stable structure: *c*

***

*a*
An optimized crystal structure of TaBS3. Source: Alexandria, functional PBE.

Cell lengths 4.7912, 4.7912, 4.7912 Å; angles 90.00, 90.00, 90.00 degrees
Fractional positions:
Ta: 0.0000 0.0000 0.0000
B: 0.5000 0.5000 0.5000
S: 0.0000 0.0000 0.5000
S: 0.0000 0.5000 0.0000
S: 0.5000 0.0000 0.0000

As for the crystal system: cubic. Its total magnetization is 0.000 μB/f.u.

***

*b*
An optimized crystal structure of TaBS3. Source: Alexandria, functional PBE.

Cell lengths 9.7966, 9.7966, 6.6603 Å; angles 90.00, 90.00, 161.56 degrees
Fractional positions:
Ta: 0.1640 0.8360 0.5000
Ta: 0.8360 0.1640 0.0000
B: 0.3510 0.6490 0.7152
B: 0.6490 0.3510 0.2152
S: 0.0961 0.9039 0.1763
S: 0.2590 0.7410 0.7735
S: 0.3998 0.6002 0.1949
S: 0.6002 0.3998 0.6949
S: 0.7410 0.2590 0.2735
S: 0.9039 0.0961 0.6763

As for the crystal system: orthorhombic. Its total magnetization is 0.000 μB/f.u.

***

Least stable structure: *a*

***

*a*
An optimized crystal structure of TaB3S. Source: Alexandria, functional PBE.

Cell lengths 3.7912, 3.7912, 3.7912 Å; angles 90.00, 90.00, 90.00 degrees
Fractional positions:
Ta: 0.0000 0.0000 0.0000
B: 0.0000 0.5000 0.5000
B: 0.5000 0.0000 0.5000
B: 0.5000 0.5000 0.0000
S: 0.5000 0.5000 0.5000

As for the crystal system: cubic. Its total magnetization is 0.000 μB/f.u.

***

*b*
An optimized crystal structure of TaB3S. Source: Alexandria, functional PBE.

Cell lengths 4.3809, 4.3809, 4.3809 Å; angles 90.00, 90.00, 90.00 degrees
Fractional positions:
Ta: 0.0000 0.0000 0.0000
B: 0.0000 0.0000 0.5000
B: 0.0000 0.5000 0.0000
B: 0.5000 0.0000 0.0000
S: 0.5000 0.5000 0.5000

As for the crystal system: cubic. Its total magnetization is 0.000 μB/f.u.

***

Least stable structure: *b*

***

*a*
An optimized crystal structure of TcBS3. Source: Alexandria, functional PBE.

Cell lengths 4.6295, 4.6295, 4.6295 Å; angles 90.00, 90.00, 90.00 degrees
Fractional positions:
Tc: 0.0000 0.0000 0.0000
B: 0.5000 0.5000 0.5000
S: 0.0000 0.0000 0.5000
S: 0.0000 0.5000 0.0000
S: 0.5000 0.0000 0.0000

As for the crystal system: cubic. Its total magnetization is 0.000 μB/f.u.

***

*b*
An optimized crystal structure of TcBS3. Source: Alexandria, functional PBE.

Cell lengths 4.0569, 4.0569, 4.0569 Å; angles 90.00, 90.00, 90.00 degrees
Fractional positions:
Tc: 0.0000 0.0000 0.0000
B: 0.5000 0.5000 0.5000
S: 0.0000 0.5000 0.5000
S: 0.5000 0.0000 0.5000
S: 0.5000 0.5000 0.0000

As for the crystal system: cubic. Its total magnetization is 0.002 μB/f.u.

***

Least stable structure: *a*

***

*a*
An optimized crystal structure of B2TeS. Source: Alexandria, functional PBE.

Cell lengths 4.3002, 4.3002, 4.3002 Å; angles 60.00, 60.00, 60.00 degrees
Fractional positions:
B: 0.2500 0.2500 0.2500
B: 0.7500 0.7500 0.7500
Te: 0.0000 0.0000 0.0000
S: 0.5000 0.5000 0.5000

As for the crystal system: cubic. Its total magnetization is 0.000 μB/f.u.

***

*b*
An optimized crystal structure of B2TeS. Source: Alexandria, functional PBE.

Cell lengths 5.4633, 5.4633, 5.4633 Å; angles 119.90, 119.90, 90.17 degrees
Fractional positions:
B: 0.0628 0.1250 0.4378
B: 0.3750 0.9372 0.0622
B: 0.6872 0.6250 0.5622
B: 0.8750 0.3128 0.9378
Te: 0.2500 0.7500 0.5000
Te: 0.5000 0.5000 0.0000
S: 0.0000 0.0000 0.0000
S: 0.7500 0.2500 0.5000

As for the crystal system: tetragonal. Its total magnetization is 0.000 μB/f.u.

***

Least stable structure: *a*

***

*a*
An optimized crystal structure of BTeS2. Source: Alexandria, functional PBE.

Cell lengths 4.6079, 4.6079, 4.6079 Å; angles 60.00, 60.00, 60.00 degrees
Fractional positions:
B: 0.0000 0.0000 0.0000
Te: 0.5000 0.5000 0.5000
S: 0.2500 0.2500 0.2500
S: 0.7500 0.7500 0.7500

As for the crystal system: cubic. Its total magnetization is 0.000 μB/f.u.

***

*b*
An optimized crystal structure of BTeS2. Source: Alexandria, functional PBE.

Cell lengths 8.1117, 8.1117, 8.1117 Å; angles 26.44, 26.44, 26.44 degrees
Fractional positions:
B: 0.0000 0.0000 0.0000
Te: 0.5000 0.5000 0.5000
S: 0.0718 0.0718 0.0718
S: 0.9282 0.9282 0.9282

As for the crystal system: trigonal. Its total magnetization is 0.000 μB/f.u.

***

Least stable structure: *a*

***

*a*
An optimized crystal structure of Th2BS. Source: Alexandria, functional PBE.

Cell lengths 6.9808, 6.9808, 6.9808 Å; angles 132.31, 132.31, 69.74 degrees
Fractional positions:
Th: 0.1149 0.3649 0.7500
Th: 0.3649 0.1149 0.2500
Th: 0.6351 0.8851 0.7500
Th: 0.8851 0.6351 0.2500
B: 0.1250 0.8750 0.2500
B: 0.8750 0.1250 0.7500
S: 0.3750 0.6250 0.7500
S: 0.6250 0.3750 0.2500

As for the crystal system: tetragonal. Its total magnetization is 0.000 μB/f.u.

***

*b*
An optimized crystal structure of Th2BS. Source: Alexandria, functional PBE.

Cell lengths 7.0549, 7.0549, 7.0549 Å; angles 32.96, 32.96, 32.96 degrees
Fractional positions:
Th: 0.2406 0.2406 0.2406
Th: 0.7594 0.7594 0.7594
B: 0.5000 0.5000 0.5000
S: 0.0000 0.0000 0.0000

As for the crystal system: trigonal. Its total magnetization is 0.000 μB/f.u.

***

Least stable structure: *a*

***

*a*
An optimized crystal structure of TiBS3. Source: Alexandria, functional PBE.

Cell lengths 4.1538, 4.1538, 4.1538 Å; angles 90.00, 90.00, 90.00 degrees
Fractional positions:
Ti: 0.0000 0.0000 0.0000
B: 0.5000 0.5000 0.5000
S: 0.0000 0.5000 0.5000
S: 0.5000 0.0000 0.5000
S: 0.5000 0.5000 0.0000

As for the crystal system: cubic. Its total magnetization is 0.000 μB/f.u.

***

*b*
An optimized crystal structure of TiBS3. Source: Alexandria, functional PBE.

Cell lengths 7.6673, 7.6673, 7.6673 Å; angles 44.38, 44.38, 44.38 degrees
Fractional positions:
Ti: 0.1667 0.1667 0.1667
Ti: 0.8333 0.8333 0.8333
B: 0.4335 0.4335 0.4335
B: 0.5665 0.5665 0.5665
S: 0.1135 0.7428 0.4281
S: 0.2572 0.5719 0.8865
S: 0.4281 0.1135 0.7428
S: 0.5719 0.8865 0.2572
S: 0.7428 0.4281 0.1135
S: 0.8865 0.2572 0.5719

As for the crystal system: trigonal. Its total magnetization is 0.664 μB/f.u.

***

*c*
An optimized crystal structure of TiBS3. Source: Alexandria, functional PBE.

Cell lengths 4.6901, 4.6901, 4.6901 Å; angles 90.00, 90.00, 90.00 degrees
Fractional positions:
Ti: 0.0000 0.0000 0.0000
B: 0.5000 0.5000 0.5000
S: 0.0000 0.0000 0.5000
S: 0.0000 0.5000 0.0000
S: 0.5000 0.0000 0.0000

As for the crystal system: cubic. Its total magnetization is 0.000 μB/f.u.

***

Least stable structure: *c*

***

*a*
An optimized crystal structure of Tl2BS. Source: Alexandria, functional PBE.

Cell lengths 7.0568, 7.0568, 7.0568 Å; angles 130.61, 130.61, 72.44 degrees
Fractional positions:
Tl: 0.0639 0.6250 0.9389
Tl: 0.3750 0.3139 0.4389
Tl: 0.6861 0.1250 0.0611
Tl: 0.8750 0.9361 0.5611
B: 0.0000 0.0000 0.0000
B: 0.7500 0.2500 0.5000
S: 0.2500 0.7500 0.5000
S: 0.5000 0.5000 0.0000

As for the crystal system: tetragonal. Its total magnetization is 0.000 μB/f.u.

***

*b*
An optimized crystal structure of Tl2BS. Source: Alexandria, functional PBE.

Cell lengths 5.0515, 5.0515, 5.0515 Å; angles 60.00, 60.00, 60.00 degrees
Fractional positions:
Tl: 0.2500 0.2500 0.2500
Tl: 0.7500 0.7500 0.7500
B: 0.0000 0.0000 0.0000
S: 0.5000 0.5000 0.5000

As for the crystal system: cubic. Its total magnetization is 0.868 μB/f.u.

***

Least stable structure: *b*

***

*a*
An optimized crystal structure of Tl3BS4. Source: Alexandria, functional PBE.

Cell lengths 7.3900, 7.3900, 4.4917 Å; angles 105.65, 105.65, 75.92 degrees
Fractional positions:
Tl: 0.0000 0.0000 0.0000
Tl: 0.5867 0.0072 0.3475
Tl: 0.9928 0.4133 0.6525
B: 0.3058 0.6942 0.5000
S: 0.0497 0.6720 0.2796
S: 0.3280 0.9503 0.7204
S: 0.3897 0.5004 0.7658
S: 0.4996 0.6103 0.2342

As for the crystal system: monoclinic. Its total magnetization is 0.000 μB/f.u.

***

*b*
An optimized crystal structure of Tl3BS4. Source: Alexandria, functional PBE.

Cell lengths 10.0076, 6.3429, 6.5198 Å; angles 90.00, 90.00, 90.00 degrees
Fractional positions:
Tl: 0.0000 0.2124 0.0000
Tl: 0.2472 0.7376 0.0357
Tl: 0.2528 0.2624 0.5357
Tl: 0.5000 0.7876 0.5000
Tl: 0.7472 0.2624 0.5357
Tl: 0.7528 0.7376 0.0357
B: 0.0000 0.7956 0.5433
B: 0.5000 0.2044 0.0433
S: 0.0000 0.0927 0.4824
S: 0.0000 0.7301 0.8326
S: 0.1695 0.6839 0.4474
S: 0.3305 0.3161 0.9474
S: 0.5000 0.2699 0.3326
S: 0.5000 0.9073 0.9824
S: 0.6695 0.3161 0.9474
S: 0.8305 0.6839 0.4474

As for the crystal system: orthorhombic. Its total magnetization is 0.000 μB/f.u.

***

Least stable structure: *b*